w | The following is a DFT calculation (GGA+U) of a geometry-optimized LiCoAsO structure.

Computed properties:
Spin magnetization, μB/f.u.: 0.01

```
LiCoAsO
1.0
3.7150 0.0000 0.0000
0.0000 3.7150 0.0000
0.0000 0.0000 6.7921
Li Co As O
2 2 2 2
Direct
0.2500 0.2500 0.0828
0.7500 0.7500 0.9172
0.2500 0.7500 0.5000
0.7500 0.2500 0.5000
0.2500 0.2500 0.6934
0.7500 0.7500 0.3066
0.2500 0.7500 0.0000
0.7500 0.2500 0.0000
```

***

x | The following is a DFT calculation (GGA+U) of a geometry-optimized LiCoAsO structure.

Computed properties:
Spin magnetization, μB/f.u.: 2.37

```
LiCoAsO
1.0
3.4779 0.0000 0.0000
0.0000 3.4779 0.0000
0.0000 0.0000 9.2894
Li Co As O
2 2 2 2
Direct
0.2500 0.7500 0.0000
0.7500 0.2500 0.0000
0.2500 0.2500 0.3992
0.7500 0.7500 0.6008
0.2500 0.2500 0.7909
0.7500 0.7500 0.2091
0.2500 0.7500 0.5000
0.7500 0.2500 0.5000
```

***

Relative energies, in meV/atom, with the most stable structure set to zero: w 0; x 31.

***

w | The following is a DFT calculation (GGA+U) of a geometry-optimized LiCoAsO structure.

Computed properties:
Spin magnetization, μB/f.u.: 2.38

```
LiCoAsO
1.0
3.0338 0.0000 0.0000
0.0000 7.3678 0.0000
0.0000 0.0000 4.9507
Li Co As O
2 2 2 2
Direct
0.0000 0.1035 0.0000
0.0000 0.8965 0.5000
0.5000 0.2788 0.4263
0.5000 0.7212 0.9263
0.5000 0.3982 0.8936
0.5000 0.6018 0.3936
0.0000 0.1291 0.3757
0.0000 0.8709 0.8757
```

***

x | The following is a DFT calculation (GGA+U) of a geometry-optimized LiCoAsO structure.

Computed properties:
Spin magnetization, μB/f.u.: 0.01

```
LiCoAsO
1.0
3.7060 0.0000 0.0000
0.0000 3.7060 0.0000
0.0000 0.0000 6.7439
Li Co As O
2 2 2 2
Direct
0.2500 0.2500 0.0916
0.7500 0.7500 0.9084
0.2500 0.7500 0.5000
0.7500 0.2500 0.5000
0.2500 0.2500 0.6950
0.7500 0.7500 0.3050
0.2500 0.7500 0.0000
0.7500 0.2500 0.0000
```

***

y | The following is a DFT calculation (GGA+U) of a geometry-optimized LiCoAsO structure.

Computed properties:
Spin magnetization, μB/f.u.: 2.49

```
LiCoAsO
1.0
3.4624 0.0000 0.0000
0.0000 6.7230 0.0000
0.0000 0.0000 4.8440
Li Co As O
2 2 2 2
Direct
0.0000 0.1828 0.0000
0.0000 0.8172 0.5000
0.5000 0.1682 0.5272
0.5000 0.8318 0.0272
0.0000 0.4188 0.4656
0.0000 0.5812 0.9656
0.5000 0.1022 0.9154
0.5000 0.8978 0.4154
```

***

Relative energies, in meV/atom, with the most stable structure set to zero: w 13; x 441; y 0.